1) # PrHoTlAu GGA-PBE relaxed
# Density (Mg/m³): 11.01
data_PrHoTlAu
_space_group_name_H-M_alt 'P 1'
_space_group_IT_number 1
_space_group_name_Hall 'P 1'
_cell_length_a 3.675
_cell_length_b 3.675
_cell_length_c 7.897
_cell_angle_alpha 90.00
_cell_angle_beta 90.00
_cell_angle_gamma 90.00
loop_
_atom_site_label
_atom_site_type_symbol
_atom_site_fract_x
_atom_site_fract_y
_atom_site_fract_z
_atom_site_occupancy
Pr1 Pr 0.000 0.000 0.000 1
Ho1 Ho 0.000 0.000 0.460 1
Tl1 Tl 0.500 0.500 0.722 1
Au1 Au 0.500 0.500 0.266 1

***

2) # PrHoTlAu GGA-PBE relaxed
# Density (Mg/m³): 10.92
data_PrHoTlAu
_space_group_name_H-M_alt 'P 1'
_space_group_IT_number 1
_space_group_name_Hall 'P 1'
_cell_length_a 7.550
_cell_length_b 7.550
_cell_length_c 7.550
_cell_angle_alpha 90.00
_cell_angle_beta 90.00
_cell_angle_gamma 90.00
loop_
_atom_site_label
_atom_site_type_symbol
_atom_site_fract_x
_atom_site_fract_y
_atom_site_fract_z
_atom_site_occupancy
Pr1 Pr 0.000 0.000 0.000 1
Pr2 Pr 0.000 0.500 0.500 1
Pr3 Pr 0.500 0.000 0.500 1
Pr4 Pr 0.500 0.500 0.000 1
Ho1 Ho 0.000 0.000 0.500 1
Ho2 Ho 0.000 0.500 0.000 1
Ho3 Ho 0.500 0.000 0.000 1
Ho4 Ho 0.500 0.500 0.500 1
Tl1 Tl 0.250 0.250 0.250 1
Tl2 Tl 0.250 0.750 0.750 1
Tl3 Tl 0.750 0.250 0.750 1
Tl4 Tl 0.750 0.750 0.250 1
Au1 Au 0.250 0.250 0.750 1
Au2 Au 0.250 0.750 0.250 1
Au3 Au 0.750 0.250 0.250 1
Au4 Au 0.750 0.750 0.750 1

***

Of them, 2) has the lowest stability.

***

1) # HoPtAu GGA-PBE relaxed
# Density (Mg/m³): 15.28
data_HoPtAu
_space_group_name_H-M_alt 'P 1'
_space_group_IT_number 1
_space_group_name_Hall 'P 1'
_cell_length_a 3.665
_cell_length_b 3.665
_cell_length_c 9.013
_cell_angle_alpha 90.00
_cell_angle_beta 90.00
_cell_angle_gamma 90.00
loop_
_atom_site_label
_atom_site_type_symbol
_atom_site_fract_x
_atom_site_fract_y
_atom_site_fract_z
_atom_site_occupancy
Ho1 Ho 0.000 0.000 0.000 1
Ho2 Ho 0.500 0.500 0.500 1
Pt1 Pt 0.000 0.000 0.346 1
Pt2 Pt 0.500 0.500 0.846 1
Au1 Au 0.000 0.000 0.673 1
Au2 Au 0.500 0.500 0.173 1

***

2) # HoPtAu GGA-PBE relaxed
# Density (Mg/m³): 15.22
data_HoPtAu
_space_group_name_H-M_alt 'P 1'
_space_group_IT_number 1
_space_group_name_Hall 'P 1'
_cell_length_a 5.082
_cell_length_b 8.371
_cell_length_c 5.714
_cell_angle_alpha 90.00
_cell_angle_beta 90.00
_cell_angle_gamma 90.00
loop_
_atom_site_label
_atom_site_type_symbol
_atom_site_fract_x
_atom_site_fract_y
_atom_site_fract_z
_atom_site_occupancy
Ho1 Ho 0.000 0.159 0.250 1
Ho2 Ho 0.000 0.841 0.750 1
Ho3 Ho 0.500 0.341 0.750 1
Ho4 Ho 0.500 0.659 0.250 1
Pt1 Pt 0.000 0.184 0.750 1
Pt2 Pt 0.000 0.816 0.250 1
Pt3 Pt 0.500 0.316 0.250 1
Pt4 Pt 0.500 0.684 0.750 1
Au1 Au 0.000 0.500 0.000 1
Au2 Au 0.000 0.500 0.500 1
Au3 Au 0.500 0.000 0.000 1
Au4 Au 0.500 0.000 0.500 1

***

3) # HoPtAu GGA-PBE relaxed
# Density (Mg/m³): 14.70
data_HoPtAu
_space_group_name_H-M_alt 'P 1'
_space_group_IT_number 1
_space_group_name_Hall 'P 1'
_cell_length_a 4.636
_cell_length_b 4.636
_cell_length_c 3.380
_cell_angle_alpha 90.00
_cell_angle_beta 90.00
_cell_angle_gamma 120.00
loop_
_atom_site_label
_atom_site_type_symbol
_atom_site_fract_x
_atom_site_fract_y
_atom_site_fract_z
_atom_site_occupancy
Ho1 Ho 0.000 0.000 0.000 1
Pt1 Pt 0.667 0.333 0.499 1
Au1 Au 0.333 0.667 0.501 1

***

Of them, 3) has the lowest stability.

***

1) # HoPt3Au GGA-PBE relaxed
# Density (Mg/m³): 15.52
data_HoPt3Au
_space_group_name_H-M_alt 'P 1'
_space_group_IT_number 1
_space_group_name_Hall 'P 1'
_cell_length_a 6.618
_cell_length_b 6.618
_cell_length_c 5.343
_cell_angle_alpha 90.00
_cell_angle_beta 90.00
_cell_angle_gamma 120.00
loop_
_atom_site_label
_atom_site_type_symbol
_atom_site_fract_x
_atom_site_fract_y
_atom_site_fract_z
_atom_site_occupancy
Ho1 Ho 0.333 0.667 0.250 1
Ho2 Ho 0.667 0.333 0.750 1
Pt1 Pt 0.203 0.405 0.750 1
Pt2 Pt 0.203 0.797 0.750 1
Pt3 Pt 0.405 0.203 0.250 1
Pt4 Pt 0.595 0.797 0.750 1
Pt5 Pt 0.797 0.203 0.250 1
Pt6 Pt 0.797 0.595 0.250 1
Au1 Au 0.000 0.000 0.000 1
Au2 Au 0.000 0.000 0.500 1

***

2) # HoPt3Au GGA-PBE relaxed
# Density (Mg/m³): 16.33
data_HoPt3Au
_space_group_name_H-M_alt 'P 1'
_space_group_IT_number 1
_space_group_name_Hall 'P 1'
_cell_length_a 4.608
_cell_length_b 5.848
_cell_length_c 7.145
_cell_angle_alpha 90.00
_cell_angle_beta 90.00
_cell_angle_gamma 90.00
loop_
_atom_site_label
_atom_site_type_symbol
_atom_site_fract_x
_atom_site_fract_y
_atom_site_fract_z
_atom_site_occupancy
Ho1 Ho 0.250 0.250 0.180 1
Ho2 Ho 0.750 0.750 0.820 1
Pt1 Pt 0.250 0.025 0.759 1
Pt2 Pt 0.250 0.475 0.759 1
Pt3 Pt 0.250 0.750 0.079 1
Pt4 Pt 0.750 0.250 0.921 1
Pt5 Pt 0.750 0.525 0.241 1
Pt6 Pt 0.750 0.975 0.241 1
Au1 Au 0.250 0.750 0.453 1
Au2 Au 0.750 0.250 0.547 1

***

Of them, 1) has the lowest stability.